1.
A plane-wave DFT calculation with PBE was carried out for YMg3In after structural relaxation.

Cell: 5.9530 5.9530 5.9530 Å, 90.00 90.00 90.00°
With the nearest neighbours (Å) after each atom.
Space group Pm-3m (No. 221)
Symmetry-distinct sites (fractional):
Y 0.0000 0.0000 0.0000  6 Mg 2.98
Mg 0.0000 0.0000 0.5000  2 Y 2.98
In 0.5000 0.5000 0.5000  12 Mg 4.21

Results
Calculated total energy   -1.829 eV/atom
M_tot   0.00 μB/f.u.
Formation enthalpy at 0 K   0.97 eV per atom
Excess energy over the best structure of this formula in the dataset   626 meV per atom
DOS(E_F)   9.7 states/eV/cell

=====

2.
A plane-wave DFT calculation with PBE was carried out for Tl5V2Se6 after structural relaxation.

Cell: 12.9732 15.2237 4.0767 Å, 90.00 90.00 90.00°
With the nearest neighbours (Å) after each atom.
Space group Pbam (No. 55)
Symmetry-distinct sites (fractional):
Tl 0.0000 0.0000 0.0000  4 Se 3.30, 2 Tl 3.56
Tl 0.0442 0.2306 0.0000  6 Se 3.16-3.47
Tl 0.1573 0.4874 0.0000  7 Se 3.32-3.65
V 0.1969 0.6929 0.5000  4 Se 2.34-2.45
Se 0.0342 0.6258 0.5000  1 V 2.34
Se 0.1748 0.0835 0.5000  1 V 2.36
Se 0.2104 0.7817 0.0000  2 V 2.45

Results
Calculated total energy   -4.375 eV/atom
Uncorrected formation energy   -0.454 eV per atom
M_tot   3.00 μB/f.u.
DOS(E_F)   11.9 states/eV/cell

=====

3.
A plane-wave DFT calculation with PBE was carried out for CrW after structural relaxation.

Cell: 4.2954 4.2954 6.0920 Å, 90.00 90.00 90.00°
With the nearest neighbours (Å) after each atom.
Space group P4/nmm (No. 129, origin choice 2)
Symmetry-distinct sites (fractional):
Cr 0.2500 0.2500 0.2461  4 Cr 2.62, 5 W 2.65-2.92
Cr 0.2500 0.7500 0.0000  4 W 2.58, 4 Cr 2.62
W 0.2500 0.2500 0.7664  4 Cr 2.58, 4 W 2.69
W 0.2500 0.7500 0.5000  4 Cr 2.65, 4 W 2.69

Results
Calculated total energy   -11.199 eV/atom
M_tot   0.00 μB/f.u.
Formation enthalpy at 0 K   0.09 eV per atom
DOS(E_F)   5.4 states/eV/cell

=====

4.
A plane-wave DFT calculation with PBE was carried out for CaHgPb after structural relaxation.

Cell: 5.2449 5.2449 11.2573 Å, 90.00 90.00 120.00°
With the nearest neighbours (Å) after each atom.
Space group P6_3/mmc (No. 194)
Symmetry-distinct sites (fractional):
Ca 0.3333 0.6667 0.2500  3 Hg 3.03
Hg 0.0000 0.0000 0.2500  2 Pb 2.81, 3 Ca 3.03
Pb 0.0000 0.0000 0.0000  2 Hg 2.81

Results
Calculated total energy   -1.794 eV/atom
M_tot   0.00 μB/f.u.
Formation enthalpy at 0 K   0.21 eV per atom
DOS(E_F)   5.1 states/eV/cell

=====

5.
A plane-wave DFT calculation with PBE was carried out for AcLaSnHg after structural relaxation.

Cell: 4.0255 4.0255 7.9215 Å, 90.00 90.00 90.00°
With the nearest neighbours (Å) after each atom.
Space group P4mm (No. 99)
Symmetry-distinct sites (fractional):
Ac 0.0000 0.0000 0.0000  4 Sn 3.52, 4 Hg 3.53
La 0.0000 0.0000 0.4990  4 Hg 3.41, 4 Sn 3.42
Sn 0.5000 0.5000 0.7387  4 La 3.42, 4 Ac 3.52, 1 Hg 3.77
Hg 0.5000 0.5000 0.2628  4 La 3.41, 4 Ac 3.53, 1 Sn 3.77

Results
Calculated total energy   -3.914 eV/atom
M_tot   0.00 μB/f.u.
Formation enthalpy at 0 K   -0.58 eV per atom
Excess energy over the best structure of this formula in the dataset   16 meV per atom
DOS(E_F)   3.6 states/eV/cell

=====

6.
A plane-wave DFT calculation with PBE was carried out for PrGdAl4 after structural relaxation.

Cell: 8.0025 8.0025 8.0025 Å, 90.00 90.00 90.00°
With the nearest neighbours (Å) after each atom.
Space group F-43m (No. 216)
Symmetry-distinct sites (fractional):
Pr 0.0000 0.0000 0.0000  12 Al 3.32, 4 Gd 3.47
Gd 0.2500 0.2500 0.2500  12 Al 3.32, 4 Pr 3.47
Al 0.1248 0.1248 0.6248  6 Al 2.82-2.83

Results
Calculated total energy   -6.146 eV/atom
M_tot   7.55 μB/f.u.
Formation enthalpy at 0 K   -0.51 eV per atom
DOS(E_F)   13.5 states/eV/cell

=====

7.
A plane-wave DFT calculation with PBE was carried out for GeAsH2 after structural relaxation.

Cell: 5.5990 5.5990 5.5990 Å, 90.00 90.00 90.00°
With the nearest neighbours (Å) after each atom.
Space group Fm-3m (No. 225)
Symmetry-distinct sites (fractional):
Ge 0.0000 0.0000 0.0000  8 H 2.42
As 0.0000 0.0000 0.5000  8 H 2.42
H 0.2500 0.2500 0.2500  4 Ge 2.42, 4 As 2.42

Results
Calculated total energy   -3.259 eV/atom
M_tot   0.00 μB/f.u.
Excess energy over the best structure of this formula in the dataset   436 meV per atom
DOS(E_F)   4.4 states/eV/cell

=====

8.
A plane-wave DFT calculation with PBE was carried out for TbDyHo4S8 after structural relaxation.

Cell: 8.0222 8.0222 19.6838 Å, 90.00 90.00 120.00°
With the nearest neighbours (Å) after each atom.
Space group R3m (No. 160, hexagonal axes)
Symmetry-distinct sites (fractional):
Tb 0.0000 0.0000 0.0000  6 S 2.77-2.78
Dy 0.0000 0.0000 0.6253  4 S 2.61-2.62
Ho 0.0000 0.0000 0.3747  4 S 2.60-2.61
Ho 0.9997 0.4998 0.4999  6 S 2.75
S 0.0000 0.0000 0.2423  4 Ho 2.61-2.75
S 0.0000 0.0000 0.7583  1 Dy 2.62, 3 Ho 2.75
S 0.0179 0.5090 0.7532  3 Ho 2.60-2.75, 1 Tb 2.78
S 0.1763 0.3525 0.5798  1 Dy 2.61, 2 Ho 2.75, 1 Tb 2.77

Results
Calculated total energy   -6.257 eV/atom
Uncorrected formation energy   -1.931 eV per atom
M_tot   0.00 μB/f.u.
DOS(E_F)   25.6 states/eV/cell